! SrCrP2O, relaxed, DFT GGA+U; values from VASP
! Magnetic moment = 0.00 μB/f.u.
! Uncorrected energy = -5.241 eV/atom
! Relative energy among the computed polymorphs = 0 meV/atom
! D(E_F) = 2.06 states/eV/f.u.
&SYSTEM
  ibrav = 0, nat = 5, ntyp = 4
/
ATOMIC_SPECIES
P 30.97 P.upf
O 16.00 O.upf
Cr 52.00 Cr.upf
Sr 87.62 Sr.upf
CELL_PARAMETERS angstrom
-4.716 1.038 0.478
-0.515 -0.115 -4.823
-0.772 -3.585 0.168
ATOMIC_POSITIONS crystal
P 0.500 0.000 0.000
P 0.000 0.500 0.000
O 0.000 0.000 0.500
Cr 0.000 0.000 0.000
Sr 0.500 0.500 0.500